Record 1
The following is a DFT calculation (PBE-GGA) of a relaxed Tb4Er5Sc2 crystal.

a b c (Å): 3.5265 8.5330 11.5921
angles (deg): 90.00 90.03 101.92
Fractional positions:
Tb1 0.1501 0.3007 0.2928
Tb2 0.3292 0.6586 0.4417
Tb3 0.6708 0.3414 0.5583
Tb4 0.8499 0.6993 0.7072
Er1 0.0000 0.0000 0.5000
Er2 0.3518 0.7050 0.9732
Er3 0.4752 0.9519 0.2267
Er4 0.5248 0.0481 0.7733
Er5 0.6482 0.2950 0.0268
Sc1 0.1959 0.3903 0.7981
Sc2 0.8041 0.6097 0.2019

space group: No. 2
ΔE_f: 1.2 eV/f.u.
energy relative to the lowest polymorph listed for this composition: 0.000 eV/atom
M_tot: 0.000 μB per cell
total DFT energy (no corrections): -4.799 eV per atom

=====

Record 2
The following is a DFT calculation (PBE-GGA) of a relaxed TbEr6Sc2 crystal.

a b c (Å): 3.5043 3.5043 25.2701
angles (deg): 90.00 90.00 120.00
Fractional positions:
Tb1 0.0000 0.0000 0.0000
Er1 0.0000 0.0000 0.2251
Er2 0.0000 0.0000 0.4327
Er3 0.0000 0.0000 0.5673
Er4 0.0000 0.0000 0.7749
Er5 0.3333 0.6667 0.1130
Er6 0.3333 0.6667 0.8870
Sc1 0.3333 0.6667 0.3296
Sc2 0.3333 0.6667 0.6704

space group: No. 187
ΔE_f: 0.5 eV/f.u.
energy relative to the lowest polymorph listed for this composition: 0.000 eV/atom
M_tot: 0.037 μB per cell
total DFT energy (no corrections): -4.908 eV per atom

=====

Record 3
The following is a DFT calculation (PBE-GGA) of a relaxed Tb2ErSc3 crystal.

a b c (Å): 5.9533 3.4363 16.5046
angles (deg): 90.00 96.92 90.00
Fractional positions:
Tb1 0.0284 0.2500 0.3336
Tb2 0.2501 0.2500 0.0000
Tb3 0.7499 0.7500 0.0000
Tb4 0.9716 0.7500 0.6664
Er1 0.4726 0.2500 0.6664
Er2 0.5274 0.7500 0.3336
Sc1 0.1393 0.7500 0.1676
Sc2 0.2515 0.7500 0.5005
Sc3 0.3613 0.7500 0.8320
Sc4 0.6387 0.2500 0.1680
Sc5 0.7485 0.2500 0.4995
Sc6 0.8607 0.2500 0.8324

space group: No. 11
ΔE_f: 0.3 eV/f.u.
energy relative to the lowest polymorph listed for this composition: 0.000 eV/atom
M_tot: 0.000 μB per cell
total DFT energy (no corrections): -5.414 eV per atom